[1]
A plane-wave DFT calculation with PBE was carried out for a geometry-optimized Lu2Cu structure.

Output
* symmetry: Fd-3m, No. 227
* size of the total moment: 0.00 μB/f.u.
* ΔE_f: 715 meV/atom

abc: 5.997 5.997 5.997
angles: 60.00 60.00 60.00
Fractional positions:
1 Cu 0.250 0.250 0.250
2 Cu 0.000 0.000 0.000
3 Lu 0.625 0.125 0.625
4 Lu 0.125 0.625 0.625
5 Lu 0.625 0.625 0.625
6 Lu 0.625 0.625 0.125

[2]
A plane-wave DFT calculation with PBE was carried out for a geometry-optimized ZnH18C6N3Cl5 structure.

Output
* symmetry: P2_1, No. 4

abc: 7.126 12.328 8.063
angles: 90.00 97.12 90.00
Fractional positions:
1 H 0.973 0.599 0.763
2 H 0.237 0.030 0.264
3 H 0.646 0.742 0.150
4 C 0.516 0.198 0.648
5 H 0.763 0.530 0.736
6 H 0.692 0.538 0.094
7 Cl 0.951 0.013 0.885
8 H 0.966 0.461 0.768
9 H 0.615 0.433 0.342
10 H 0.516 0.959 0.956
11 H 0.354 0.242 0.850
12 C 0.804 0.618 0.435
13 H 0.663 0.184 0.628
14 H 0.549 0.577 0.531
15 H 0.171 0.195 0.497
16 H 0.591 0.292 0.870
17 H 0.616 0.988 0.678
18 H 0.308 0.038 0.906
19 Cl 0.981 0.292 0.818
20 H 0.384 0.488 0.322
21 C 0.546 0.527 0.120
22 N 0.438 0.627 0.063
23 H 0.456 0.644 0.939
24 H 0.066 0.538 0.512
25 H 0.409 0.792 0.130
26 H 0.385 0.933 0.658
27 H 0.874 0.446 0.482
28 H 0.829 0.695 0.503
29 N 0.406 0.099 0.587
30 H 0.484 0.459 0.044
31 H 0.462 0.268 0.570
32 N 0.096 0.031 0.289
33 C 0.916 0.527 0.528
34 N 0.562 0.127 0.937
35 C 0.500 0.723 0.170
36 H 0.337 0.684 0.372
37 N 0.594 0.599 0.413
38 H 0.126 0.946 0.518
39 Cl 0.838 0.252 0.251
40 Cl 0.542 0.992 0.291
41 N 0.904 0.531 0.711
42 H 0.034 0.961 0.232
43 H 0.706 0.112 0.934
44 H 0.451 0.077 0.469
45 C 0.531 0.505 0.302
46 Cl 0.019 0.792 0.182
47 C 0.484 0.698 0.352
48 H 0.538 0.768 0.430
49 H 0.852 0.627 0.312
50 Cl 0.162 0.752 0.749
51 H 0.294 0.612 0.066
52 Zn 0.949 0.827 0.903
53 H 0.544 0.144 0.061
54 H 0.934 0.038 0.488
55 C 0.500 0.223 0.830
56 Cl 0.336 0.259 0.205
57 Zn 0.051 0.327 0.097
58 C 0.454 0.027 0.880
59 H 0.027 0.099 0.237
60 C 0.469 0.005 0.698
61 C 0.084 0.027 0.472
62 Cl 0.664 0.759 0.795
63 Cl 0.458 0.492 0.709
64 C 0.196 0.118 0.565
65 H 0.148 0.127 0.688
66 Cl 0.049 0.513 0.115

[3]
A plane-wave DFT calculation with PBE was carried out for a geometry-optimized LuHf2In structure.

Output
* symmetry: F-43m, No. 216
* size of the total moment: 1.46 μB/f.u.

abc: 5.066 5.066 5.066
angles: 60.00 60.00 60.00
Last column: magnetic moment on the atom in μB.
Fractional positions:
1 Hf 0.000 0.000 0.000  0.60
2 In 0.500 0.500 0.500  -0.02
3 Hf 0.750 0.750 0.750  0.30
4 Lu 0.250 0.250 0.250  0.13

[4]
A plane-wave DFT calculation with PBE was carried out for a geometry-optimized Pr2Sm2CCl4F structure.

Output
* symmetry: C2/m, No. 12
* size of the total moment: 0.01 μB/f.u.

abc: 8.907 8.907 7.511
angles: 102.56 102.56 24.38
Fractional positions:
1 Cl 0.167 0.167 0.354
2 Pr 0.999 0.999 0.238
3 F 0.500 0.500 0.500
4 C 0.500 0.500 0.000
5 Cl 0.833 0.833 0.646
6 Sm 0.354 0.354 0.921
7 Pr 0.001 0.001 0.762
8 Cl 0.827 0.827 0.177
9 Cl 0.173 0.173 0.823
10 Sm 0.646 0.646 0.080

[5]
A plane-wave DFT calculation with PBE was carried out for a geometry-optimized ZnGa2Re structure.

Output
* symmetry: F-43m, No. 216
* size of the total moment: 0.01 μB/f.u.

abc: 4.415 4.415 4.415
angles: 60.00 60.00 60.00
Fractional positions:
1 Ga 0.500 0.500 0.500
2 Ga 0.750 0.750 0.750
3 Re 0.250 0.250 0.250
4 Zn 0.000 0.000 0.000

[6]
A plane-wave DFT calculation with PBE was carried out for a geometry-optimized KCuTcIr structure.

Output
* symmetry: F-43m, No. 216
* offset from the most stable computed form: 0.0000 eV/atom
* size of the total moment: 0.15 μB/f.u.

abc: 4.519 4.519 4.519
angles: 60.00 60.00 60.00
Fractional positions:
1 Tc 0.250 0.250 0.250
2 Cu 0.750 0.750 0.750
3 K 0.000 0.000 0.000
4 Ir 0.500 0.500 0.500

[7]
A plane-wave DFT calculation with PBE was carried out for a geometry-optimized CoCl structure.

Output
* symmetry: Fm-3m, No. 225
* size of the total moment: 2.00 μB/f.u.

abc: 3.546 3.546 3.546
angles: 60.00 60.00 60.00
Fractional positions:
1 Co 0.500 0.500 0.500
2 Cl 0.000 0.000 0.000

[8]
A plane-wave DFT calculation with PBE was carried out for a geometry-optimized ScPaPt structure.

Output
* symmetry: F-43m, No. 216
* offset from the most stable computed form: 0.4547 eV/atom
* size of the total moment: 0.09 μB/f.u.
* ΔE_f: 42 meV/atom

abc: 4.651 4.651 4.651
angles: 60.00 60.00 60.00
Fractional positions:
1 Pa 0.000 0.000 0.000
2 Sc 0.750 0.750 0.750
3 Pt 0.250 0.250 0.250

[9]
A plane-wave DFT calculation with PBE was carried out for a geometry-optimized ZnPdSeO structure.

Output
* symmetry: P2_12_12_1, No. 19
* offset from the most stable computed form: 0.0478 eV/atom

abc: 6.159 5.475 8.334
angles: 90.00 90.00 90.00
Fractional positions:
1 Se 0.041 0.926 0.106
2 O 0.965 0.851 0.651
3 O 0.535 0.149 0.151
4 Pd 0.786 0.247 0.001
5 Zn 0.034 0.205 0.634
6 Pd 0.286 0.253 0.999
7 Se 0.541 0.574 0.894
8 Pd 0.714 0.753 0.501
9 Se 0.459 0.074 0.606
10 O 0.465 0.649 0.349
11 Pd 0.214 0.747 0.499
12 Zn 0.466 0.795 0.134
13 Zn 0.966 0.705 0.866
14 O 0.035 0.351 0.849
15 Se 0.959 0.426 0.394
16 Zn 0.534 0.295 0.366

[10]
A plane-wave DFT calculation with PBE was carried out for a geometry-optimized BaLiHoS3 structure.

Output
* symmetry: Pnma, No. 62
* offset from the most stable computed form: 0.0000 eV/atom
* size of the total moment: 0.00 μB/f.u.

abc: 10.265 4.088 13.531
angles: 90.00 90.00 90.00
Fractional positions:
1 Ho 0.497 0.750 0.250
2 S 0.444 0.750 0.880
3 S 0.753 0.250 0.816
4 S 0.937 0.250 0.120
5 S 0.056 0.250 0.380
6 S 0.253 0.250 0.684
7 Li 0.246 0.250 0.279
8 Li 0.254 0.750 0.779
9 S 0.556 0.250 0.120
10 Li 0.746 0.250 0.221
11 Ba 0.748 0.750 0.995
12 Ho 0.997 0.750 0.250
13 Ba 0.248 0.750 0.505
14 S 0.563 0.750 0.620
15 S 0.747 0.750 0.316
16 Ho 0.503 0.250 0.750
17 S 0.944 0.750 0.620
18 S 0.063 0.750 0.880
19 S 0.247 0.750 0.184
20 Ho 0.003 0.250 0.750
21 S 0.437 0.250 0.380
22 Ba 0.252 0.250 0.005
23 Li 0.754 0.750 0.721
24 Ba 0.752 0.250 0.495

[11]
A plane-wave DFT calculation with PBE was carried out for a geometry-optimized NaRePO structure.

Output
* symmetry: P4/nmm, No. 129
* offset from the most stable computed form: 0.5151 eV/atom
* size of the total moment: 0.28 μB/f.u.

abc: 3.376 3.376 9.240
angles: 90.00 90.00 90.00
Last column: magnetic moment on the atom in μB.
Fractional positions:
1 Na 0.000 0.000 0.500  0.00
2 Re 0.500 0.000 0.857  0.26
3 Na 0.500 0.500 0.500  0.00
4 Re 0.000 0.500 0.143  0.26
5 O 0.000 0.000 0.000  -0.01
6 P 0.000 0.500 0.735  0.00
7 O 0.500 0.500 0.000  -0.01
8 P 0.500 0.000 0.265  0.00

[12]
A plane-wave DFT calculation with PBE was carried out for a geometry-optimized Be2NbMo structure.

Output
* symmetry: F-43m, No. 216
* size of the total moment: 0.01 μB/f.u.

abc: 4.254 4.254 4.254
angles: 60.00 60.00 60.00
Fractional positions:
1 Be 0.250 0.250 0.250
2 Nb 0.750 0.750 0.750
3 Be 0.000 0.000 0.000
4 Mo 0.500 0.500 0.500

What are the calculated total energy values for these records? In order: -21.2 -329.7 -26.9 -56.0 -17.8 -19.8 -8.3 -21.8 -69.2 -130.1 -48.1 -26.9 eV per cell.